[1]
First-principles (PBE-GGA) data for KCdIr2 after structural relaxation, as listed in the Alexandria database.

a = 5.1555 Å, b = 5.1555 Å, c = 6.4939 Å
α = 98.29°, β = 98.29°, γ = 31.62°
Positions (direct):
K  0.0000  0.0000  0.0000
Cd  0.5000  0.5000  0.5000
Ir  0.2334  0.2334  0.6601
Ir  0.7666  0.7666  0.3399

Properties
The symmetry is C2/m (12). The value obtained for the formation energy is 0.552 eV per atom.

=====

[2]
First-principles (PBE-GGA) data for Th2TcSn8 after structural relaxation, as listed in the Alexandria database.

a = 4.7751 Å, b = 4.7751 Å, c = 12.2403 Å
α = 90.00°, β = 90.00°, γ = 90.00°
Positions (direct):
Th  0.0000  0.0000  0.1905
Th  0.0000  0.0000  0.8095
Tc  0.0000  0.0000  0.5000
Sn  0.0000  0.5000  0.0000
Sn  0.0000  0.5000  0.3784
Sn  0.0000  0.5000  0.6216
Sn  0.5000  0.0000  0.0000
Sn  0.5000  0.0000  0.3784
Sn  0.5000  0.0000  0.6216
Sn  0.5000  0.5000  0.1935
Sn  0.5000  0.5000  0.8065

Properties
The symmetry is P4/mmm (123). The value obtained for the formation energy is -0.335 eV per atom.

=====

[3]
First-principles (PBE-GGA) data for AcPa4Re3N12 after structural relaxation, as listed in the Alexandria database.

a = 7.1726 Å, b = 7.1726 Å, c = 7.1726 Å
α = 109.47°, β = 109.47°, γ = 109.47°
Positions (direct):
Ac  0.0000  0.0000  0.0000
Pa  0.0000  0.0000  0.5000
Pa  0.0000  0.5000  0.0000
Pa  0.5000  0.0000  0.0000
Pa  0.5000  0.5000  0.5000
Re  0.0000  0.5000  0.5000
Re  0.5000  0.0000  0.5000
Re  0.5000  0.5000  0.0000
N  0.1581  0.4779  0.3198
N  0.1581  0.8383  0.6802
N  0.1617  0.3198  0.8419
N  0.3198  0.1581  0.4779
N  0.3198  0.8419  0.1617
N  0.4779  0.3198  0.1581
N  0.5221  0.6802  0.8419
N  0.6802  0.1581  0.8383
N  0.6802  0.8419  0.5221
N  0.8383  0.6802  0.1581
N  0.8419  0.1617  0.3198
N  0.8419  0.5221  0.6802

Properties
The symmetry is Im-3 (204). The formation energy (no corrections) is -672 meV per atom.

=====

[4]
First-principles (PBE-GGA) data for Pt2AuBr after structural relaxation, as listed in the Alexandria database.

a = 3.1932 Å, b = 3.1932 Å, c = 7.1083 Å
α = 90.00°, β = 90.00°, γ = 90.00°
Positions (direct):
Pt  0.0000  0.0000  0.2313
Pt  0.0000  0.0000  0.7687
Au  0.5000  0.5000  0.0000
Br  0.5000  0.5000  0.5000

Properties
The symmetry is P4/mmm (123). The formation energy (no corrections) is 501 meV per atom. As for the energy above the most stable polymorph in this dataset: 242.4 meV per atom.

=====

[5]
First-principles (PBE-GGA) data for Nb2FeGePd after structural relaxation, as listed in the Alexandria database.

a = 4.7886 Å, b = 4.7886 Å, c = 4.4698 Å
α = 90.00°, β = 90.00°, γ = 90.00°
Positions (direct):
Nb  0.0000  0.5000  0.0000
Nb  0.5000  0.0000  0.0000
Fe  0.0000  0.0000  0.5000
Ge  0.5000  0.5000  0.0000
Pd  0.5000  0.5000  0.5000

Properties
The symmetry is P4/mmm (123). The value obtained for the formation energy is 1.170 eV per atom.

=====

[6]
First-principles (PBE-GGA) data for AcSm2In after structural relaxation, as listed in the Alexandria database.

a = 3.7677 Å, b = 3.7677 Å, c = 9.3594 Å
α = 90.00°, β = 90.00°, γ = 90.00°
Positions (direct):
Ac  0.0000  0.0000  0.0000
Sm  0.5000  0.5000  0.2845
Sm  0.5000  0.5000  0.7155
In  0.0000  0.0000  0.5000

Properties
The symmetry is P4/mmm (123). As for the energy above the most stable polymorph in this dataset: 0.0 meV per atom. The value obtained for the formation energy is -0.223 eV per atom.

=====

[7]
First-principles (PBE-GGA) data for CaZr3Rh4 after structural relaxation, as listed in the Alexandria database.

a = 8.2104 Å, b = 8.2104 Å, c = 8.2104 Å
α = 33.26°, β = 33.26°, γ = 33.26°
Positions (direct):
Ca  0.0000  0.0000  0.0000
Zr  0.2511  0.2511  0.2511
Zr  0.5000  0.5000  0.5000
Zr  0.7489  0.7489  0.7489
Rh  0.1323  0.1323  0.1323
Rh  0.3830  0.3830  0.3830
Rh  0.6170  0.6170  0.6170
Rh  0.8677  0.8677  0.8677

Properties
The symmetry is R-3m (166). The value obtained for the formation energy is -0.691 eV per atom.

=====

[8]
First-principles (PBE-GGA) data for Na3HoTi2Te6 after structural relaxation, as listed in the Alexandria database.

a = 7.2383 Å, b = 7.2383 Å, c = 7.9866 Å
α = 98.75°, β = 98.75°, γ = 120.36°
Positions (direct):
Na  0.0000  0.0000  0.0000
Na  0.3442  0.6558  0.0000
Na  0.6558  0.3442  0.0000
Ho  0.5000  0.5000  0.5000
Ti  0.1744  0.8256  0.5000
Ti  0.8256  0.1744  0.5000
Te  0.0728  0.4245  0.2782
Te  0.2154  0.2154  0.7119
Te  0.4245  0.0728  0.2782
Te  0.5755  0.9272  0.7218
Te  0.7846  0.7846  0.2881
Te  0.9272  0.5755  0.7218

Properties
The symmetry is C2/m (12). The formation energy (no corrections) is -935 meV per atom.

=====

[9]
First-principles (PBE-GGA) data for LaAg2As after structural relaxation, as listed in the Alexandria database.

a = 9.5656 Å, b = 9.5656 Å, c = 9.5656 Å
α = 20.47°, β = 20.47°, γ = 20.47°
Positions (direct):
La  0.0000  0.0000  0.0000
Ag  0.2377  0.2377  0.2377
Ag  0.7623  0.7623  0.7623
As  0.5000  0.5000  0.5000

Properties
The symmetry is R-3m (166). The value obtained for the formation energy is 0.185 eV per atom.

=====

[10]
First-principles (PBE-GGA) data for SrAcBi after structural relaxation, as listed in the Alexandria database.

a = 5.6697 Å, b = 5.6697 Å, c = 5.6697 Å
α = 60.00°, β = 60.00°, γ = 60.00°
Positions (direct):
Sr  0.0000  0.0000  0.0000
Ac  0.5000  0.5000  0.5000
Bi  0.2500  0.2500  0.2500

Properties
The symmetry is F-43m (216). As for the energy above the most stable polymorph in this dataset: 36.4 meV per atom. The value obtained for the formation energy is -0.451 eV per atom.

=====

[11]
First-principles (PBE-GGA) data for KCaNi2 after structural relaxation, as listed in the Alexandria database.

a = 8.5500 Å, b = 8.5500 Å, c = 8.5500 Å
α = 27.12°, β = 27.12°, γ = 27.12°
Positions (direct):
K  0.0000  0.0000  0.0000
Ca  0.1680  0.1680  0.1680
Ni  0.4308  0.4308  0.4308
Ni  0.7642  0.7642  0.7642

Properties
The symmetry is R3m (160). As for the energy above the most stable polymorph in this dataset: 0.0 meV per atom. The value obtained for the formation energy is 0.122 eV per atom.

=====

[12]
First-principles (PBE-GGA) data for Ce2PI2 after structural relaxation, as listed in the Alexandria database.

a = 7.6196 Å, b = 7.6196 Å, c = 11.5548 Å
α = 90.00°, β = 90.00°, γ = 149.16°
Positions (direct):
Ce  0.0179  0.9821  0.5000
Ce  0.2190  0.7810  0.7071
Ce  0.7810  0.2190  0.2071
Ce  0.9821  0.0179  0.0000
P  0.3732  0.6268  0.0872
P  0.6268  0.3732  0.5872
I  0.1026  0.8974  0.2390
I  0.3444  0.6556  0.4284
I  0.6556  0.3444  0.9284
I  0.8974  0.1026  0.7390

Properties
The symmetry is Cmc2_1 (36). The formation energy (no corrections) is -1102 meV per atom.

=====

Number 1: energy -17.53 eV for the cell shown, magnetization 0.00 μB per formula unit. Number 2: energy -60.92 eV for the cell shown, magnetization 0.00 μB per formula unit. Number 3: energy -192.79 eV for the cell shown, magnetization 2.38 μB per formula unit. Number 4: energy -15.03 eV for the cell shown, magnetization 0.00 μB per formula unit. Number 5: energy -32.56 eV for the cell shown, magnetization 0.23 μB per formula unit. Number 6: energy -17.18 eV for the cell shown, magnetization 0.00 μB per formula unit. Number 7: energy -62.58 eV for the cell shown, magnetization 0.00 μB per formula unit. Number 8: energy -54.39 eV for the cell shown, magnetization 2.01 μB per formula unit. Number 9: energy -14.54 eV for the cell shown, magnetization 0.00 μB per formula unit. Number 10: energy -11.02 eV for the cell shown, magnetization 0.00 μB per formula unit. Number 11: energy -14.17 eV for the cell shown, magnetization 0.00 μB per formula unit. Number 12: energy -51.78 eV for the cell shown, magnetization 2.33 μB per formula unit.